1.
## CaLa2Zr (PBE-GGA)

Data for a relaxed structure of CaLa2Zr.

Computed properties:
As for the formation energy: 0.208 eV per atom. The value obtained for the density of states at the Fermi level is 5.4 states/eV/cell. Its crystal system is monoclinic. The value obtained for the energy above the lowest structure with this stoichiometry is 0.086 eV/atom.

POSCAR file:
```
CaLa2Zr
1.0
5.7158 -1.7469 0.0000
5.7158 1.7469 0.0000
-0.9129 0.0000 6.5560
Ca La Zr
1 2 1
Direct
0.0000 0.0000 0.0000
0.2413 0.2413 0.7230
0.7587 0.7587 0.2770
0.5000 0.5000 0.5000
```

***

2.
## CaLa2Zr (PBE-GGA)

Data for a relaxed structure of CaLa2Zr.

Computed properties:
As for the formation energy: 0.230 eV per atom. The value obtained for the density of states at the Fermi level is 5.6 states/eV/cell. Its crystal system is orthorhombic. The value obtained for the energy above the lowest structure with this stoichiometry is 0.108 eV/atom.

POSCAR file:
```
CaLa2Zr
1.0
3.6578 -4.9365 0.0000
3.6578 4.9365 0.0000
0.0000 0.0000 3.6132
Ca La Zr
1 2 1
Direct
0.0000 0.0000 0.0000
0.0000 0.5000 0.5000
0.5000 0.0000 0.5000
0.5000 0.5000 0.0000
```

***

3.
## CaLa2Zr (PBE-GGA)

Data for a relaxed structure of CaLa2Zr.

Computed properties:
As for the formation energy: 0.147 eV per atom. The value obtained for the density of states at the Fermi level is 4.8 states/eV/cell. Its crystal system is trigonal. The value obtained for the energy above the lowest structure with this stoichiometry is 0.026 eV/atom.

POSCAR file:
```
CaLa2Zr
1.0
1.7895 1.0332 12.0455
-1.7895 1.0332 12.0455
0.0000 -2.0663 12.0455
Ca La Zr
1 2 1
Direct
0.0000 0.0000 0.0000
0.2407 0.2407 0.2407
0.7593 0.7593 0.7593
0.5000 0.5000 0.5000
```

***

4.
## CaLa2Zr (PBE-GGA)

Data for a relaxed structure of CaLa2Zr.

Computed properties:
As for the formation energy: 0.121 eV per atom. The value obtained for the density of states at the Fermi level is 6.3 states/eV/cell. Its crystal system is tetragonal. The value obtained for the energy above the lowest structure with this stoichiometry is 0.000 eV/atom.

POSCAR file:
```
CaLa2Zr
1.0
3.5728 0.0000 0.0000
0.0000 3.5728 0.0000
0.0000 0.0000 10.5716
Ca La Zr
1 2 1
Direct
0.0000 0.0000 0.0000
0.5000 0.5000 0.2826
0.5000 0.5000 0.7174
0.0000 0.0000 0.5000
```

***

5.
## Ca2LaZr (PBE-GGA)

Data for a relaxed structure of Ca2LaZr.

Computed properties:
As for the formation energy: 0.309 eV per atom. The value obtained for the density of states at the Fermi level is 6.3 states/eV/cell. Its crystal system is orthorhombic. The value obtained for the energy above the lowest structure with this stoichiometry is 0.131 eV/atom.

POSCAR file:
```
Ca2LaZr
1.0
1.9037 -2.8687 0.0000
1.9037 2.8687 0.0000
0.0000 0.0000 12.2524
Ca La Zr
2 1 1
Direct
0.0000 0.0000 0.2301
0.0000 0.0000 0.7699
0.5000 0.5000 0.5000
0.5000 0.5000 0.0000
```

***

6.
## Ca2LaZr (PBE-GGA)

Data for a relaxed structure of Ca2LaZr.

Computed properties:
As for the formation energy: 0.285 eV per atom. The value obtained for the density of states at the Fermi level is 6.0 states/eV/cell. Its crystal system is orthorhombic. The value obtained for the energy above the lowest structure with this stoichiometry is 0.108 eV/atom.

POSCAR file:
```
Ca2LaZr
1.0
-1.8415 2.8960 6.3093
1.8415 -2.8960 6.3093
1.8415 2.8960 -6.3093
Ca La Zr
2 1 1
Direct
0.2270 0.2270 0.0000
0.7730 0.7730 0.0000
0.5000 0.0000 0.5000
0.0000 0.5000 0.5000
```